No. 1
DFT (PBE-GGA) results for BNCl2 after structural relaxation.

Its volume is 23.720 Å³ per atom. The symmetry is R3, No. 146. As for the raw formation energy: -0.557 eV/atom. The theoretical density is 1.68 g cm⁻³. Its size of the total moment is 0.0 μB/f.u.

Cell lengths 6.579, 6.579, 6.579 Å; angles 89.29, 89.29, 89.29 degrees
Sites, in units of the cell vectors:
B1 0.179 0.939 0.877
B2 0.877 0.179 0.939
B3 0.939 0.877 0.179
N1 0.826 0.055 0.115
N2 0.115 0.826 0.055
N3 0.055 0.115 0.826
Cl1 0.391 0.869 0.731
Cl2 0.731 0.391 0.869
Cl3 0.869 0.731 0.391
Cl4 0.617 0.123 0.258
Cl5 0.258 0.617 0.123
Cl6 0.123 0.258 0.617


No. 2
DFT (PBE-GGA) results for BNCl2 after structural relaxation.

Its volume is 25.780 Å³ per atom. The symmetry is Fd-3m, No. 227. As for the raw formation energy: 1.362 eV/atom. The theoretical density is 1.54 g cm⁻³. Its size of the total moment is 3.0 μB/f.u.

Cell lengths 6.629, 6.629, 6.633 Å; angles 60.02, 60.02, 90.00 degrees
Last column: magnetic moment on the atom in μB.
Sites, in units of the cell vectors:
B1 0.500 0.500 0.000  0.00
B2 0.250 0.750 0.500  0.00
N1 0.000 0.000 0.000  1.94
N2 0.750 0.250 0.500  1.94
Cl1 0.375 0.125 0.250  0.01
Cl2 0.375 0.625 0.250  0.01
Cl3 0.375 0.625 0.750  0.01
Cl4 0.875 0.625 0.750  0.01


No. 3
DFT (PBE-GGA) results for BNCl2 after structural relaxation.

Its volume is 15.707 Å³ per atom. The symmetry is Fm-3m, No. 225. As for the raw formation energy: 2.303 eV/atom. The theoretical density is 2.53 g cm⁻³. Its size of the total moment is 2.0 μB/f.u.

Cell lengths 4.462, 4.462, 4.462 Å; angles 60.00, 60.00, 60.00 degrees
Last column: magnetic moment on the atom in μB.
Sites, in units of the cell vectors:
B1 0.000 0.000 0.000  -0.12
N1 0.500 0.500 0.500  1.60
Cl1 0.250 0.250 0.250  -0.07
Cl2 0.750 0.750 0.750  -0.07


No. 4
DFT (PBE-GGA) results for B2NCl after structural relaxation.

Its volume is 9.746 Å³ per atom. The symmetry is I-42d, No. 122. As for the raw formation energy: 0.797 eV/atom. The theoretical density is 3.03 g cm⁻³. Its size of the total moment is 0.0 μB/f.u.

Cell lengths 4.144, 4.144, 5.404 Å; angles 67.46, 67.46, 90.00 degrees
Sites, in units of the cell vectors:
B1 0.439 0.125 0.250
B2 0.311 0.625 0.250
B3 0.375 0.561 0.750
B4 0.875 0.689 0.750
N1 0.500 0.500 0.000
N2 0.250 0.750 0.500
Cl1 0.000 0.000 0.000
Cl2 0.750 0.250 0.500


No. 5
DFT (PBE-GGA) results for BNCl2 after structural relaxation.

Its volume is 21.631 Å³ per atom. The symmetry is R-3m, No. 166. As for the raw formation energy: 1.327 eV/atom. The theoretical density is 1.84 g cm⁻³. Its size of the total moment is 2.0 μB/f.u.

Cell lengths 7.895, 7.895, 7.895 Å; angles 26.53, 26.53, 26.53 degrees
Last column: magnetic moment on the atom in μB.
Sites, in units of the cell vectors:
B1 0.000 0.000 0.000  -0.21
N1 0.500 0.500 0.500  1.67
Cl1 0.928 0.928 0.928  0.00
Cl2 0.072 0.072 0.072  0.00


No. 6
DFT (PBE-GGA) results for BP2NCl after structural relaxation.

Its volume is 13.659 Å³ per atom. The symmetry is P4/mmm, No. 123. As for the raw formation energy: 1.781 eV/atom. The theoretical density is 2.97 g cm⁻³. Its size of the total moment is 0.0 μB/f.u.

Cell lengths 4.165, 4.165, 3.936 Å; angles 90.00, 90.00, 90.00 degrees
Sites, in units of the cell vectors:
P1 0.000 0.500 0.000
P2 0.500 0.000 0.000
B1 0.000 0.000 0.000
N1 0.500 0.500 0.500
Cl1 0.000 0.000 0.500


No. 7
DFT (PBE-GGA) results for BP2NCl after structural relaxation.

Its volume is 18.188 Å³ per atom. The symmetry is P4/mmm, No. 123. As for the raw formation energy: 1.566 eV/atom. The theoretical density is 2.23 g cm⁻³. Its size of the total moment is 0.3 μB/f.u.

Cell lengths 3.712, 3.712, 6.601 Å; angles 90.00, 90.00, 90.00 degrees
Last column: magnetic moment on the atom in μB.
Sites, in units of the cell vectors:
P1 0.000 0.500 0.000  0.04
P2 0.500 0.000 0.000  0.04
B1 0.500 0.500 0.500  0.00
N1 0.000 0.000 0.000  0.12
Cl1 0.000 0.000 0.500  0.00


No. 8
DFT (PBE-GGA) results for B2PNCl after structural relaxation.

Its volume is 11.327 Å³ per atom. The symmetry is P4/mmm, No. 123. As for the raw formation energy: 2.544 eV/atom. The theoretical density is 2.99 g cm⁻³. Its size of the total moment is 0.0 μB/f.u.

Cell lengths 3.883, 3.755, 3.883 Å; angles 90.00, 90.00, 90.00 degrees
Sites, in units of the cell vectors:
P1 0.500 0.500 0.500
B1 0.000 0.000 0.500
B2 0.500 0.000 0.000
N1 0.000 0.500 0.000
Cl1 0.000 0.000 0.000


No. 9
DFT (PBE-GGA) results for BPbNCl2 after structural relaxation.

Its volume is 18.977 Å³ per atom. The symmetry is P4/mmm, No. 123. As for the raw formation energy: 1.383 eV/atom. The theoretical density is 5.30 g cm⁻³. Its size of the total moment is 0.0 μB/f.u.

Cell lengths 4.319, 4.319, 5.088 Å; angles 90.00, 90.00, 90.00 degrees
Sites, in units of the cell vectors:
Pb1 0.000 0.000 0.500
B1 0.500 0.500 0.500
N1 0.000 0.000 0.000
Cl1 0.000 0.500 0.000
Cl2 0.500 0.000 0.000


No. 10
DFT (PBE-GGA) results for Pm6B2NCl3 after structural relaxation.

Its volume is 22.346 Å³ per atom. The symmetry is C2/m, No. 12. As for the raw formation energy: -1.126 eV/atom. The theoretical density is 6.27 g cm⁻³. Its size of the total moment is 0.0 μB/f.u.

Cell lengths 6.630, 6.630, 7.385 Å; angles 98.60, 98.60, 120.02 degrees
Sites, in units of the cell vectors:
Pm1 0.935 0.610 0.803
Pm2 0.741 0.741 0.197
Pm3 0.065 0.390 0.197
Pm4 0.610 0.935 0.803
Pm5 0.259 0.259 0.803
Pm6 0.390 0.065 0.197
B1 0.334 0.666 0.000
B2 0.666 0.334 0.000
N1 0.000 0.000 0.000
Cl1 0.171 0.829 0.500
Cl2 0.829 0.171 0.500
Cl3 0.500 0.500 0.500


No. 11
DFT (PBE-GGA) results for PmBN2Cl after structural relaxation.

Its volume is 16.858 Å³ per atom. The symmetry is P2_1/m, No. 11. As for the raw formation energy: -0.913 eV/atom. The theoretical density is 4.32 g cm⁻³. Its size of the total moment is 1.0 μB/f.u.

Cell lengths 3.938, 6.834, 6.264 Å; angles 90.00, 90.00, 90.00 degrees
Last column: magnetic moment on the atom in μB.
Sites, in units of the cell vectors:
Pm1 0.250 0.750 0.528  0.02
Pm2 0.750 0.250 0.472  0.02
B1 0.250 0.250 0.788  -0.03
B2 0.750 0.750 0.212  -0.03
N1 0.750 0.919 0.336  0.35
N2 0.250 0.081 0.664  0.35
N3 0.750 0.581 0.337  0.35
N4 0.250 0.419 0.663  0.35
Cl1 0.250 0.251 0.091  0.02
Cl2 0.750 0.749 0.909  0.02


No. 12
DFT (PBE-GGA) results for Rb2BNCl6 after structural relaxation.

Its volume is 26.744 Å³ per atom. The symmetry is I4/mmm, No. 139. As for the raw formation energy: -0.456 eV/atom. The theoretical density is 2.54 g cm⁻³. Its size of the total moment is 2.0 μB/f.u.

Cell lengths 7.217, 7.217, 7.239 Å; angles 60.10, 60.10, 90.00 degrees
Last column: magnetic moment on the atom in μB.
Sites, in units of the cell vectors:
B1 0.500 0.500 0.000  0.01
N1 0.000 0.000 0.000  1.22
Rb1 0.750 0.250 0.500  0.00
Rb2 0.250 0.750 0.500  0.00
Cl1 0.205 0.205 0.591  0.06
Cl2 0.795 0.795 0.409  0.06
Cl3 0.305 0.305 0.000  0.01
Cl4 0.695 0.695 0.000  0.01
Cl5 0.695 0.305 0.000  0.01
Cl6 0.305 0.695 0.000  0.01